(P)
TlOsSN2 after structural relaxation, computed with PBE.

Cell and atoms, written as CIF:
```
data_TlOsSN2
_chemical_formula_sum 'Tl1 Os1 S1 N2'
_cell_length_a 3.874
_cell_length_b 3.874
_cell_length_c 5.245
_cell_angle_alpha 90.00
_cell_angle_beta 90.00
_cell_angle_gamma 90.00
_symmetry_space_group_name_H-M 'P 4/m m m'
_symmetry_Int_Tables_number 123
_symmetry_space_group_name_Hall '-P 4 2'
loop_
_atom_site_label
_atom_site_type_symbol
_atom_site_fract_x
_atom_site_fract_y
_atom_site_fract_z
Tl1 Tl 0.000 0.000 0.000
Os1 Os 0.500 0.500 0.500
S1 S 0.500 0.500 0.000
N1 N 0.000 0.500 0.500
```

Calculated values
total magnetic moment	0.4	μB/f.u.

(Q)
TlOsSN2 after structural relaxation, computed with PBE.

Cell and atoms, written as CIF:
```
data_TlOsSN2
_chemical_formula_sum 'Tl1 Os1 S1 N2'
_cell_length_a 4.083
_cell_length_b 4.083
_cell_length_c 5.824
_cell_angle_alpha 90.00
_cell_angle_beta 90.00
_cell_angle_gamma 90.00
_symmetry_space_group_name_H-M 'P 4/m m m'
_symmetry_Int_Tables_number 123
_symmetry_space_group_name_Hall '-P 4 2'
loop_
_atom_site_label
_atom_site_type_symbol
_atom_site_fract_x
_atom_site_fract_y
_atom_site_fract_z
Tl1 Tl 0.000 0.000 0.000
Os1 Os 0.500 0.500 0.500
S1 S 0.000 0.000 0.500
N1 N 0.000 0.500 0.000
```

Calculated values
total magnetic moment	5.8	μB/f.u.

It is (P) that is the most stable of them.

(P)
VOsS2N after structural relaxation, computed with PBE.

Cell and atoms, written as CIF:
```
data_VOsS2N
_chemical_formula_sum 'V1 Os1 S2 N1'
_cell_length_a 4.644
_cell_length_b 4.644
_cell_length_c 3.511
_cell_angle_alpha 90.00
_cell_angle_beta 90.00
_cell_angle_gamma 90.00
_symmetry_space_group_name_H-M 'P 4/m m m'
_symmetry_Int_Tables_number 123
_symmetry_space_group_name_Hall '-P 4 2'
loop_
_atom_site_label
_atom_site_type_symbol
_atom_site_fract_x
_atom_site_fract_y
_atom_site_fract_z
V1 V 0.000 0.000 0.000
Os1 Os 0.500 0.500 0.500
S1 S 0.000 0.500 0.000
N1 N 0.000 0.000 0.500
```

Calculated values
total magnetic moment	1.3	μB/f.u.

(Q)
VOsS2N after structural relaxation, computed with PBE.

Cell and atoms, written as CIF:
```
data_VOsS2N
_chemical_formula_sum 'V1 Os1 S2 N1'
_cell_length_a 4.784
_cell_length_b 4.784
_cell_length_c 3.646
_cell_angle_alpha 90.00
_cell_angle_beta 90.00
_cell_angle_gamma 90.00
_symmetry_space_group_name_H-M 'P 4/m m m'
_symmetry_Int_Tables_number 123
_symmetry_space_group_name_Hall '-P 4 2'
loop_
_atom_site_label
_atom_site_type_symbol
_atom_site_fract_x
_atom_site_fract_y
_atom_site_fract_z
V1 V 0.000 0.000 0.000
Os1 Os 0.500 0.500 0.500
S1 S 0.000 0.500 0.500
N1 N 0.500 0.500 0.000
```

Calculated values
total magnetic moment	0.2	μB/f.u.

It is (Q) that is the most stable of them.

(P)
VOsSN2 after structural relaxation, computed with PBE.

Cell and atoms, written as CIF:
```
data_VOsSN2
_chemical_formula_sum 'V1 Os1 S1 N2'
_cell_length_a 3.691
_cell_length_b 3.691
_cell_length_c 4.919
_cell_angle_alpha 90.00
_cell_angle_beta 90.00
_cell_angle_gamma 90.00
_symmetry_space_group_name_H-M 'P 4/m m m'
_symmetry_Int_Tables_number 123
_symmetry_space_group_name_Hall '-P 4 2'
loop_
_atom_site_label
_atom_site_type_symbol
_atom_site_fract_x
_atom_site_fract_y
_atom_site_fract_z
V1 V 0.000 0.000 0.000
Os1 Os 0.500 0.500 0.500
S1 S 0.000 0.000 0.500
N1 N 0.000 0.500 0.000
```

Calculated values
total magnetic moment	2.3	μB/f.u.

(Q)
VOsSN2 after structural relaxation, computed with PBE.

Cell and atoms, written as CIF:
```
data_VOsSN2
_chemical_formula_sum 'V1 Os1 S1 N2'
_cell_length_a 3.768
_cell_length_b 3.768
_cell_length_c 5.079
_cell_angle_alpha 90.00
_cell_angle_beta 90.00
_cell_angle_gamma 90.00
_symmetry_space_group_name_H-M 'P 4/m m m'
_symmetry_Int_Tables_number 123
_symmetry_space_group_name_Hall '-P 4 2'
loop_
_atom_site_label
_atom_site_type_symbol
_atom_site_fract_x
_atom_site_fract_y
_atom_site_fract_z
V1 V 0.000 0.000 0.000
Os1 Os 0.500 0.500 0.500
S1 S 0.500 0.500 0.000
N1 N 0.000 0.500 0.500
```

Calculated values
total magnetic moment	0.6	μB/f.u.

It is (Q) that is the most stable of them.

(P)
OsWSN2 after structural relaxation, computed with PBE.

Cell and atoms, written as CIF:
```
data_OsWSN2
_chemical_formula_sum 'Os1 W1 S1 N2'
_cell_length_a 3.859
_cell_length_b 3.859
_cell_length_c 5.039
_cell_angle_alpha 90.00
_cell_angle_beta 90.00
_cell_angle_gamma 90.00
_symmetry_space_group_name_H-M 'P 4/m m m'
_symmetry_Int_Tables_number 123
_symmetry_space_group_name_Hall '-P 4 2'
loop_
_atom_site_label
_atom_site_type_symbol
_atom_site_fract_x
_atom_site_fract_y
_atom_site_fract_z
Os1 Os 0.000 0.000 0.000
W1 W 0.500 0.500 0.500
S1 S 0.500 0.500 0.000
N1 N 0.000 0.500 0.500
```

Calculated values
total magnetic moment	3.4	μB/f.u.

(Q)
OsWSN2 after structural relaxation, computed with PBE.

Cell and atoms, written as CIF:
```
data_OsWSN2
_chemical_formula_sum 'Os1 W1 S1 N2'
_cell_length_a 3.780
_cell_length_b 3.780
_cell_length_c 5.103
_cell_angle_alpha 90.00
_cell_angle_beta 90.00
_cell_angle_gamma 90.00
_symmetry_space_group_name_H-M 'P 4/m m m'
_symmetry_Int_Tables_number 123
_symmetry_space_group_name_Hall '-P 4 2'
loop_
_atom_site_label
_atom_site_type_symbol
_atom_site_fract_x
_atom_site_fract_y
_atom_site_fract_z
Os1 Os 0.000 0.000 0.000
W1 W 0.500 0.500 0.500
S1 S 0.000 0.000 0.500
N1 N 0.000 0.500 0.000
```

Calculated values
total magnetic moment	3.1	μB/f.u.

It is (P) that is the most stable of them.

(P)
ZnOsSN2 after structural relaxation, computed with PBE.

Cell and atoms, written as CIF:
```
data_ZnOsSN2
_chemical_formula_sum 'Zn1 Os1 S1 N2'
_cell_length_a 3.758
_cell_length_b 3.758
_cell_length_c 5.284
_cell_angle_alpha 90.00
_cell_angle_beta 90.00
_cell_angle_gamma 90.00
_symmetry_space_group_name_H-M 'P 4/m m m'
_symmetry_Int_Tables_number 123
_symmetry_space_group_name_Hall '-P 4 2'
loop_
_atom_site_label
_atom_site_type_symbol
_atom_site_fract_x
_atom_site_fract_y
_atom_site_fract_z
Zn1 Zn 0.000 0.000 0.000
Os1 Os 0.500 0.500 0.500
S1 S 0.500 0.500 0.000
N1 N 0.000 0.500 0.500
```

Calculated values
total magnetic moment	0.0	μB/f.u.

(Q)
ZnOsSN2 after structural relaxation, computed with PBE.

Cell and atoms, written as CIF:
```
data_ZnOsSN2
_chemical_formula_sum 'Zn1 Os1 S1 N2'
_cell_length_a 3.742
_cell_length_b 3.742
_cell_length_c 4.656
_cell_angle_alpha 90.00
_cell_angle_beta 90.00
_cell_angle_gamma 90.00
_symmetry_space_group_name_H-M 'P 4/m m m'
_symmetry_Int_Tables_number 123
_symmetry_space_group_name_Hall '-P 4 2'
loop_
_atom_site_label
_atom_site_type_symbol
_atom_site_fract_x
_atom_site_fract_y
_atom_site_fract_z
Zn1 Zn 0.000 0.000 0.000
Os1 Os 0.500 0.500 0.500
S1 S 0.000 0.000 0.500
N1 N 0.000 0.500 0.000
```

Calculated values
total magnetic moment	0.3	μB/f.u.

It is (P) that is the most stable of them.

(P)
ZnOsS2N after structural relaxation, computed with PBE.

Cell and atoms, written as CIF:
```
data_ZnOsS2N
_chemical_formula_sum 'Zn1 Os1 S2 N1'
_cell_length_a 4.845
_cell_length_b 4.845
_cell_length_c 3.674
_cell_angle_alpha 90.00
_cell_angle_beta 90.00
_cell_angle_gamma 90.00
_symmetry_space_group_name_H-M 'P 4/m m m'
_symmetry_Int_Tables_number 123
_symmetry_space_group_name_Hall '-P 4 2'
loop_
_atom_site_label
_atom_site_type_symbol
_atom_site_fract_x
_atom_site_fract_y
_atom_site_fract_z
Zn1 Zn 0.000 0.000 0.000
Os1 Os 0.500 0.500 0.500
S1 S 0.000 0.500 0.500
N1 N 0.500 0.500 0.000
```

Calculated values
total magnetic moment	0.0	μB/f.u.

(Q)
ZnOsS2N after structural relaxation, computed with PBE.

Cell and atoms, written as CIF:
```
data_ZnOsS2N
_chemical_formula_sum 'Zn1 Os1 S2 N1'
_cell_length_a 4.691
_cell_length_b 4.691
_cell_length_c 3.507
_cell_angle_alpha 90.00
_cell_angle_beta 90.00
_cell_angle_gamma 90.00
_symmetry_space_group_name_H-M 'P 4/m m m'
_symmetry_Int_Tables_number 123
_symmetry_space_group_name_Hall '-P 4 2'
loop_
_atom_site_label
_atom_site_type_symbol
_atom_site_fract_x
_atom_site_fract_y
_atom_site_fract_z
Zn1 Zn 0.000 0.000 0.000
Os1 Os 0.500 0.500 0.500
S1 S 0.000 0.500 0.000
N1 N 0.000 0.000 0.500
```

Calculated values
total magnetic moment	0.8	μB/f.u.

It is (P) that is the most stable of them.

(P)
SbOs2N after structural relaxation, computed with PBE.

Cell and atoms, written as CIF:
```
data_SbOs2N
_chemical_formula_sum 'Sb4 Os8 N4'
_cell_length_a 5.229
_cell_length_b 5.229
_cell_length_c 10.169
_cell_angle_alpha 90.00
_cell_angle_beta 90.00
_cell_angle_gamma 90.00
_symmetry_space_group_name_H-M 'I -4 2 d'
_symmetry_Int_Tables_number 122
_symmetry_space_group_name_Hall 'I -4 2bw'
loop_
_atom_site_label
_atom_site_type_symbol
_atom_site_fract_x
_atom_site_fract_y
_atom_site_fract_z
Sb1 Sb 0.000 0.000 0.000
Os1 Os 0.138 0.250 0.625
N1 N 0.000 0.000 0.500
```

Calculated values
total magnetic moment	0.0	μB/f.u.

(Q)
SbOs2N after structural relaxation, computed with PBE.

Cell and atoms, written as CIF:
```
data_SbOs2N
_chemical_formula_sum 'Sb4 Os8 N4'
_cell_length_a 6.128
_cell_length_b 6.128
_cell_length_c 6.128
_cell_angle_alpha 90.00
_cell_angle_beta 90.00
_cell_angle_gamma 90.00
_symmetry_space_group_name_H-M 'F m -3 m'
_symmetry_Int_Tables_number 225
_symmetry_space_group_name_Hall '-F 4 2 3'
loop_
_atom_site_label
_atom_site_type_symbol
_atom_site_fract_x
_atom_site_fract_y
_atom_site_fract_z
Sb1 Sb 0.000 0.000 0.000
Os1 Os 0.250 0.250 0.250
N1 N 0.000 0.000 0.500
```

Calculated values
total magnetic moment	0.0	μB/f.u.

It is (P) that is the most stable of them.